Pr3Dy2Er2 (PBE-GGA, optimized geometry); polymorph energy (0 for the lowest one) = 0 meV per atom; energy of formation = 0.041 eV per atom
1.0
3.562 0.000 0.000
1.780 8.436 0.000
0.003 4.207 7.740
Pr Dy Er
3 2 2
Direct
0.000 0.000 0.000
0.294 0.412 0.712
0.706 0.588 0.288
0.071 0.859 0.432
0.929 0.141 0.568
0.362 0.276 0.168
0.638 0.724 0.832

***

CaTe2SeI (PBE-GGA, optimized geometry); polymorph energy (0 for the lowest one) = 0 meV per atom; energy relative to the elements, uncorrected = -1.42 eV per formula unit
1.0
5.517 0.000 0.000
0.000 5.517 0.000
0.000 0.000 5.751
Ca Te Se I
1 2 1 1
Direct
0.000 0.000 0.000
0.000 0.500 0.500
0.500 0.000 0.500
0.500 0.500 0.500
0.500 0.500 0.000

***

Number 1: magnetic moment 0.00 μB per cell. Number 2: magnetic moment 0.00 μB per cell.